! Ac2ThTe2P2 | the Alexandria database | PBE-GGA | optimized geometry; values from VASP
&SYSTEM
  ibrav = 0, nat = 14, ntyp = 4
/
ATOMIC_SPECIES
Ac 227.00 Ac.upf
Th 232.04 Th.upf
Te 127.60 Te.upf
P 30.97 P.upf
CELL_PARAMETERS angstrom
5.4063 0.0000 0.0000
0.0000 5.4063 0.0000
0.0000 0.0000 16.7354
ATOMIC_POSITIONS crystal
Ac 0.0000 0.0000 0.1174
Ac 0.0000 0.0000 0.8826
Ac 0.5000 0.5000 0.3826
Ac 0.5000 0.5000 0.6174
Th 0.0000 0.0000 0.5000
Th 0.5000 0.5000 0.0000
Te 0.0000 0.0000 0.3137
Te 0.0000 0.0000 0.6863
Te 0.5000 0.5000 0.1863
Te 0.5000 0.5000 0.8137
P 0.0000 0.5000 0.0000
P 0.0000 0.5000 0.5000
P 0.5000 0.0000 0.0000
P 0.5000 0.0000 0.5000
! Formation energy from raw total energies (eV/atom): -1.275

! Si2AgSb | the Alexandria database | PBE-GGA | optimized geometry; values from VASP
&SYSTEM
  ibrav = 0, nat = 16, ntyp = 3
/
ATOMIC_SPECIES
Si 28.09 Si.upf
Ag 107.87 Ag.upf
Sb 121.76 Sb.upf
CELL_PARAMETERS angstrom
6.0627 0.0000 0.0000
0.0000 6.0627 0.0000
0.0000 0.0000 11.1940
ATOMIC_POSITIONS crystal
Si 0.2273 0.2500 0.1250
Si 0.2500 0.7273 0.3750
Si 0.2500 0.7727 0.8750
Si 0.2727 0.2500 0.6250
Si 0.7273 0.7500 0.6250
Si 0.7500 0.2273 0.8750
Si 0.7500 0.2727 0.3750
Si 0.7727 0.7500 0.1250
Ag 0.0000 0.0000 0.0000
Ag 0.0000 0.5000 0.2500
Ag 0.5000 0.0000 0.7500
Ag 0.5000 0.5000 0.5000
Sb 0.0000 0.0000 0.5000
Sb 0.0000 0.5000 0.7500
Sb 0.5000 0.0000 0.2500
Sb 0.5000 0.5000 0.0000
! Formation energy from raw total energies (eV/atom): 0.435

! Th2In5Ni3 | the Alexandria database | PBE-GGA | optimized geometry; values from VASP
&SYSTEM
  ibrav = 0, nat = 20, ntyp = 3
/
ATOMIC_SPECIES
Th 232.04 Th.upf
In 114.82 In.upf
Ni 58.69 Ni.upf
CELL_PARAMETERS angstrom
2.2151 -13.0857 0.0000
2.2151 13.0857 0.0000
0.0000 0.0000 7.3200
ATOMIC_POSITIONS crystal
Th 0.0288 0.9712 0.5000
Th 0.3268 0.6732 0.4098
Th 0.6732 0.3268 0.9098
Th 0.9712 0.0288 0.0000
In 0.0952 0.9048 0.1139
In 0.2064 0.7936 0.6057
In 0.2098 0.7902 0.2080
In 0.3719 0.6281 0.9503
In 0.4490 0.5510 0.3370
In 0.5510 0.4490 0.8370
In 0.6281 0.3719 0.4503
In 0.7902 0.2098 0.7080
In 0.7936 0.2064 0.1057
In 0.9048 0.0952 0.6139
Ni 0.1098 0.8902 0.7369
Ni 0.2678 0.7322 0.9046
Ni 0.4544 0.5456 0.7238
Ni 0.5456 0.4544 0.2238
Ni 0.7322 0.2678 0.4046
Ni 0.8902 0.1098 0.2369
! Calculated formation energy (eV per atom): -0.34

What did we get for size of the total moment? Answer: 0.00, 0.00, 0.00 μB/f.u., in the order shown.